1.
# PBE LiNbSeN2, relaxed
# Formation energy (no corrections) in meV/atom: 1245
# Energy relative to the lowest polymorph listed for this composition in meV/atom: 1263.4
# Size of the total moment in μB per formula unit: 0.0
data_LiNbSeN2
_chemical_formula_sum 'Li1 Nb1 Se1 N2'
_cell_length_a 3.749
_cell_length_b 3.749
_cell_length_c 4.344
_cell_angle_alpha 90.00
_cell_angle_beta 90.00
_cell_angle_gamma 90.00
_symmetry_space_group_name_H-M 'P 4/m m m'
_symmetry_Int_Tables_number 123
_symmetry_space_group_name_Hall '-P 4 2'
loop_
_atom_site_label
_atom_site_fract_x
_atom_site_fract_y
_atom_site_fract_z
_atom_site_occupancy
Li1 0.000 0.000 0.000 1
Nb1 0.500 0.500 0.500 1
Se1 0.000 0.000 0.500 1
N1 0.000 0.500 0.000 1

=====

2.
# PBE Li2NbSiN4, relaxed
# Formation energy (no corrections) in meV/atom: -673
# Size of the total moment in μB per formula unit: 1.0
data_Li2NbSiN4
_chemical_formula_sum 'Li4 Nb2 Si2 N8'
_cell_length_a 4.701
_cell_length_b 4.701
_cell_length_c 8.810
_cell_angle_alpha 90.00
_cell_angle_beta 90.00
_cell_angle_gamma 90.00
_symmetry_space_group_name_H-M 'I -4'
_symmetry_Int_Tables_number 82
loop_
_symmetry_equiv_pos_as_xyz
'x,y,z'
'y,-x,-z'
'-x,-y,z'
'-y,x,-z'
'x+1/2,y+1/2,z+1/2'
'y+1/2,-x+1/2,-z+1/2'
'-x+1/2,-y+1/2,z+1/2'
'-y+1/2,x+1/2,-z+1/2'
loop_
_atom_site_label
_atom_site_fract_x
_atom_site_fract_y
_atom_site_fract_z
_atom_site_occupancy
Li1 0.000 0.000 0.000 1
Li2 0.000 0.500 0.250 1
Nb1 0.000 0.000 0.500 1
Si1 0.000 0.500 0.750 1
N1 0.193 0.726 0.632 1

=====

3.
# PBE Li4Nb3SiN8, relaxed
# Formation energy (no corrections) in meV/atom: -670
# Size of the total moment in μB per formula unit: 0.0
data_Li4Nb3SiN8
_chemical_formula_sum 'Li12 Nb9 Si3 N24'
_cell_length_a 6.1053
_cell_length_b 6.1053
_cell_length_c 15.1309
_cell_angle_alpha 90.00
_cell_angle_beta 90.00
_cell_angle_gamma 120.00
_symmetry_space_group_name_H-M 'R -3 m'
_symmetry_Int_Tables_number 166
_symmetry_space_group_name_Hall '-R 3 2"'
loop_
_atom_site_label
_atom_site_fract_x
_atom_site_fract_y
_atom_site_fract_z
_atom_site_occupancy
Li1 0.0000 0.0000 0.0000 1
Li2 0.0000 0.5000 0.0000 1
Nb1 0.0000 0.5000 0.5000 1
Si1 0.0000 0.0000 0.5000 1
N1 0.0000 0.0000 0.2423 1
N2 0.0194 0.5097 0.2379 1

=====

4.
# PBE LiNb2SnN, relaxed
# Formation energy (no corrections) in meV/atom: -485
# Size of the total moment in μB per formula unit: 0.0
data_LiNb2SnN
_chemical_formula_sum 'Li1 Nb2 Sn1 N1'
_cell_length_a 4.270
_cell_length_b 4.270
_cell_length_c 4.246
_cell_angle_alpha 90.00
_cell_angle_beta 90.00
_cell_angle_gamma 90.00
_symmetry_space_group_name_H-M 'P 4/m m m'
_symmetry_Int_Tables_number 123
_symmetry_space_group_name_Hall '-P 4 2'
loop_
_atom_site_label
_atom_site_fract_x
_atom_site_fract_y
_atom_site_fract_z
_atom_site_occupancy
Li1 0.000 0.000 0.000 1
Nb1 0.000 0.500 0.500 1
Sn1 0.500 0.500 0.000 1
N1 0.000 0.000 0.500 1

=====

5.
# PBE Sr2Li3NbN4, relaxed
# Formation energy (no corrections) in meV/atom: -862
# Size of the total moment in μB per formula unit: 0.0
data_Sr2Li3NbN4
_chemical_formula_sum 'Sr8 Li12 Nb4 N16'
_cell_length_a 8.751
_cell_length_b 9.031
_cell_length_c 7.051
_cell_angle_alpha 90.00
_cell_angle_beta 90.00
_cell_angle_gamma 90.00
_symmetry_space_group_name_H-M 'P n n m'
_symmetry_Int_Tables_number 58
loop_
_symmetry_equiv_pos_as_xyz
'x,y,z'
'-x,-y,-z'
'-x,-y,z'
'x,y,-z'
'x+1/2,-y+1/2,-z+1/2'
'-x+1/2,y+1/2,z+1/2'
'-x+1/2,y+1/2,-z+1/2'
'x+1/2,-y+1/2,z+1/2'
loop_
_atom_site_label
_atom_site_fract_x
_atom_site_fract_y
_atom_site_fract_z
_atom_site_occupancy
Sr1 0.000 0.000 0.240 1
Sr2 0.241 0.248 0.500 1
Li1 0.019 0.635 0.260 1
Li2 0.205 0.579 0.500 1
Nb1 0.214 0.363 0.000 1
N1 0.046 0.217 0.000 1
N2 0.072 0.779 0.500 1
N3 0.198 0.482 0.235 1

=====

6.
# PBE LiTaNb2N4, relaxed
# Formation energy (no corrections) in meV/atom: -1041
# Size of the total moment in μB per formula unit: 0.0
data_LiTaNb2N4
_chemical_formula_sum 'Li2 Ta2 Nb4 N8'
_cell_length_a 4.362
_cell_length_b 4.362
_cell_length_c 8.694
_cell_angle_alpha 90.00
_cell_angle_beta 90.00
_cell_angle_gamma 90.00
_symmetry_space_group_name_H-M 'I 4/m m m'
_symmetry_Int_Tables_number 139
_symmetry_space_group_name_Hall '-I 4 2'
loop_
_atom_site_label
_atom_site_fract_x
_atom_site_fract_y
_atom_site_fract_z
_atom_site_occupancy
Li1 0.000 0.000 0.000 1
Ta1 0.000 0.000 0.500 1
Nb1 0.000 0.500 0.250 1
N1 0.000 0.000 0.244 1
N2 0.000 0.500 0.000 1

=====

7.
# PBE LiTa2NbN, relaxed
# Formation energy (no corrections) in meV/atom: 1067
# Size of the total moment in μB per formula unit: 0.0
data_LiTa2NbN
_chemical_formula_sum 'Li1 Ta2 Nb1 N1'
_cell_length_a 4.667
_cell_length_b 4.667
_cell_length_c 3.344
_cell_angle_alpha 90.00
_cell_angle_beta 90.00
_cell_angle_gamma 90.00
_symmetry_space_group_name_H-M 'P 4/m m m'
_symmetry_Int_Tables_number 123
_symmetry_space_group_name_Hall '-P 4 2'
loop_
_atom_site_label
_atom_site_fract_x
_atom_site_fract_y
_atom_site_fract_z
_atom_site_occupancy
Li1 0.000 0.000 0.000 1
Ta1 0.000 0.500 0.000 1
Nb1 0.500 0.500 0.500 1
N1 0.000 0.000 0.500 1

=====

8.
# PBE Li2TaNbN4, relaxed
# Formation energy (no corrections) in meV/atom: -950
# Size of the total moment in μB per formula unit: 0.0
data_Li2TaNbN4
_chemical_formula_sum 'Li2 Ta1 Nb1 N4'
_cell_length_a 5.374
_cell_length_b 3.104
_cell_length_c 5.409
_cell_angle_alpha 90.00
_cell_angle_beta 109.33
_cell_angle_gamma 90.00
_symmetry_space_group_name_H-M 'P 1 2/m 1'
_symmetry_Int_Tables_number 10
loop_
_symmetry_equiv_pos_as_xyz
'x,y,z'
'-x,-y,-z'
'-x,y,-z'
'x,-y,z'
loop_
_atom_site_label
_atom_site_fract_x
_atom_site_fract_y
_atom_site_fract_z
_atom_site_occupancy
Li1 0.000 0.000 0.000 1
Li2 0.500 0.500 0.000 1
Ta1 0.000 0.500 0.500 1
Nb1 0.500 0.000 0.500 1
N1 0.238 0.000 0.720 1
N2 0.258 0.500 0.280 1